Computed, not measured: Tb3Ho6Tm2Th after structural relaxation at the PBE level of DFT.

Results
* size of the total moment: 0.000 μB/f.u.
* energy of formation: 0.02 eV/atom
* space-group type: C2/m

```
12
Lattice="-0.391 -5.939 -1.418 3.024 1.751 5.023 -10.609 0.570 4.944" Properties=species:S:1:pos:R:3 pbc="T T T"
Tb -2.852 0.750 6.417
Tb -5.124 -4.368 2.131
Tb -3.988 -1.809 4.274
Ho -6.560 -3.988 5.359
Ho -0.651 -3.012 3.942
Ho -1.416 0.370 3.190
Ho -5.431 -1.447 7.487
Ho -7.325 -0.606 4.606
Ho -2.545 -2.171 1.061
Tm 1.886 -0.812 2.876
Tm 0.747 -3.377 0.728
Th 0.000 0.000 0.000
```